(1)
Below is a relaxed structure of BaCaMgPb2, with properties calculated at the PBE-GGA level.

It has space group I-4m2 (No. 119), with a = 5.1052 Å, b = 5.1052 Å, c = 13.4619 Å, α = 90.00°, β = 90.00° and γ = 90.00°. The distinct sites, in fractional coordinates, are Ba at (0.0000, 0.0000, 0.0000), Ca at (0.0000, 0.5000, 0.2500), Mg at (0.0000, 0.5000, 0.7500) and Pb at (0.0000, 0.0000, 0.3860).

The calculation puts the total DFT energy (no corrections) at -3.013 eV per atom. The formation energy is -41 kJ/mol of atoms. The volume comes out at 350.9 Å³/cell.


(2)
Below is a relaxed structure of AgHg2Rh, with properties calculated at the PBE-GGA level.

It has space group I-42d (No. 122), with a = 4.1418 Å, b = 4.1418 Å, c = 19.3364 Å, α = 90.00°, β = 90.00° and γ = 90.00°. The distinct sites, in fractional coordinates, are Ag at (0.0000, 0.0000, 0.0000), Hg at (0.2418, 0.2500, 0.6250) and Rh at (0.0000, 0.0000, 0.5000).

The calculation puts the total DFT energy (no corrections) at -2.328 eV per atom. The formation energy is 36 kJ/mol of atoms. The volume comes out at 331.7 Å³/cell.


(3)
Below is a relaxed structure of Rb3Nd3US8, with properties calculated at the PBE-GGA level.

It has space group R-3m (No. 166, hexagonal axes), with a = 8.3373 Å, b = 8.3373 Å, c = 23.4890 Å, α = 90.00°, β = 90.00° and γ = 120.00°. The distinct sites, in fractional coordinates, are Rb at (0.0000, 0.5000, 0.0000), Nd at (0.0000, 0.5000, 0.5000), U at (0.0000, 0.0000, 0.5000), S at (0.0000, 0.0000, 0.2322) and S at (0.0152, 0.5076, 0.2290).

The calculation puts the total DFT energy (no corrections) at -5.843 eV per atom. The volume comes out at 1414.0 Å³/cell.


(4)
Below is a relaxed structure of LiTl2SnSb2, with properties calculated at the PBE-GGA level.

It has space group Ibam (No. 72), with a = 6.5760 Å, b = 16.2881 Å, c = 6.7186 Å, α = 90.00°, β = 90.00° and γ = 90.00°. The distinct sites, in fractional coordinates, are Li at (0.0000, 0.0000, 0.2500), Tl at (0.2412, 0.3193, 0.0000), Sn at (0.0000, 0.5000, 0.2500) and Sb at (0.2405, 0.1128, 0.0000).

The calculation puts the total DFT energy (no corrections) at -3.283 eV per atom. The volume comes out at 719.6 Å³/cell.


(5)
Below is a relaxed structure of Be3TeSe, with properties calculated at the PBE-GGA level.

It has space group Pm-3m (No. 221), with a = 4.4851 Å, b = 4.4851 Å, c = 4.4851 Å, α = 90.00°, β = 90.00° and γ = 90.00°. The distinct sites, in fractional coordinates, are Be at (0.0000, 0.0000, 0.5000), Te at (0.5000, 0.5000, 0.5000) and Se at (0.0000, 0.0000, 0.0000).

The calculation puts the total DFT energy (no corrections) at -2.862 eV per atom. The volume comes out at 90.2 Å³/cell.


(6)
Below is a relaxed structure of YMg2, with properties calculated at the PBE-GGA level.

It has space group P-3m1 (No. 164), with a = 3.3970 Å, b = 3.3970 Å, c = 8.1354 Å, α = 90.00°, β = 90.00° and γ = 120.00°. The distinct sites, in fractional coordinates, are Y at (0.0000, 0.0000, 0.0000) and Mg at (0.3333, 0.6667, 0.3421).

The calculation puts the total DFT energy (no corrections) at -3.179 eV per atom. The formation energy is 4 kJ/mol of atoms. The volume comes out at 81.3 Å³/cell.


(7)
Below is a relaxed structure of Tb3Pm2Er6Sc, with properties calculated at the PBE-GGA level.

It has space group C2/m (No. 12), with a = 6.1013 Å, b = 10.5627 Å, c = 11.6777 Å, α = 90.00°, β = 99.99° and γ = 90.00°. The distinct sites, in fractional coordinates, are Tb at (0.0000, 0.0000, 0.0000), Tb at (0.0000, 0.3336, 0.0000), Pm at (0.0000, 0.1664, 0.5000), Er at (0.2475, 0.5000, 0.2503), Er at (0.2482, 0.3348, 0.7493) and Sc at (0.0000, 0.5000, 0.5000).

The calculation puts the total DFT energy (no corrections) at -4.733 eV per atom. The formation energy is 2 kJ/mol of atoms. The volume comes out at 741.2 Å³/cell.


(8)
Below is a relaxed structure of La3Al2Pd2, with properties calculated at the PBE-GGA level.

It has space group Pbcm (No. 57), with a = 5.9222 Å, b = 8.5338 Å, c = 13.7612 Å, α = 90.00°, β = 90.00° and γ = 90.00°. The distinct sites, in fractional coordinates, are La at (0.1479, 0.1056, 0.0990), La at (0.3421, 0.7479, 0.7500), Al at (0.1613, 0.1032, 0.7500), Al at (0.3553, 0.7500, 0.0000) and Pd at (0.3798, 0.0350, 0.5916).

The calculation puts the total DFT energy (no corrections) at -5.355 eV per atom. The formation energy is -67 kJ/mol of atoms. The volume comes out at 695.5 Å³/cell.


(9)
Below is a relaxed structure of BiAu3O, with properties calculated at the PBE-GGA level.

It has space group Pm-3m (No. 221), with a = 4.6173 Å, b = 4.6173 Å, c = 4.6173 Å, α = 90.00°, β = 90.00° and γ = 90.00°. The distinct sites, in fractional coordinates, are Bi at (0.0000, 0.0000, 0.0000), Au at (0.0000, 0.5000, 0.5000) and O at (0.5000, 0.5000, 0.5000).

The calculation puts the total DFT energy (no corrections) at -3.400 eV per atom. The volume comes out at 98.4 Å³/cell.


(10)
Below is a relaxed structure of LaLuMgPd, with properties calculated at the PBE-GGA level.

It has space group F-43m (No. 216), with a = 7.3789 Å, b = 7.3789 Å, c = 7.3789 Å, α = 90.00°, β = 90.00° and γ = 90.00°. The distinct sites, in fractional coordinates, are La at (0.0000, 0.0000, 0.0000), Lu at (0.0000, 0.0000, 0.5000), Mg at (0.2500, 0.2500, 0.7500) and Pd at (0.2500, 0.2500, 0.2500).

The calculation puts the total DFT energy (no corrections) at -4.423 eV per atom. The formation energy is -35 kJ/mol of atoms. The volume comes out at 401.8 Å³/cell.


(11)
Below is a relaxed structure of Er2PbO, with properties calculated at the PBE-GGA level.

It has space group R-3m (No. 166, hexagonal axes), with a = 3.5389 Å, b = 3.5389 Å, c = 22.9640 Å, α = 90.00°, β = 90.00° and γ = 120.00°. The distinct sites, in fractional coordinates, are Er at (0.0000, 0.0000, 0.2222), Pb at (0.0000, 0.0000, 0.0000) and O at (0.0000, 0.0000, 0.5000).

The calculation puts the total DFT energy (no corrections) at -6.012 eV per atom. The volume comes out at 249.1 Å³/cell.


(12)
Below is a relaxed structure of CaReBi2, with properties calculated at the PBE-GGA level.

It has space group I-42d (No. 122), with a = 8.3283 Å, b = 8.3283 Å, c = 6.5406 Å, α = 90.00°, β = 90.00° and γ = 90.00°. The distinct sites, in fractional coordinates, are Ca at (0.0000, 0.0000, 0.0000), Re at (0.0000, 0.0000, 0.5000) and Bi at (0.1925, 0.7500, 0.6250).

The calculation puts the total DFT energy (no corrections) at -5.106 eV per atom. The formation energy is 43 kJ/mol of atoms. The volume comes out at 453.7 Å³/cell.


(13)
Below is a relaxed structure of Tc2NiBr, with properties calculated at the PBE-GGA level.

It has space group P4mm (No. 99), with a = 3.0020 Å, b = 3.0020 Å, c = 6.8502 Å, α = 90.00°, β = 90.00° and γ = 90.00°. The distinct sites, in fractional coordinates, are Tc at (0.0000, 0.0000, 0.0000), Tc at (0.5000, 0.5000, 0.2162), Ni at (0.5000, 0.5000, 0.7595) and Br at (0.0000, 0.0000, 0.5102).

The calculation puts the total DFT energy (no corrections) at -6.554 eV per atom. The volume comes out at 61.7 Å³/cell.


(14)
Below is a relaxed structure of KHSe2, with properties calculated at the PBE-GGA level.

It has space group R-3m (No. 166, hexagonal axes), with a = 3.5529 Å, b = 3.5529 Å, c = 25.4469 Å, α = 90.00°, β = 90.00° and γ = 120.00°. The distinct sites, in fractional coordinates, are K at (0.0000, 0.0000, 0.0000), H at (0.0000, 0.0000, 0.5000) and Se at (0.0000, 0.0000, 0.4310).

The calculation puts the total DFT energy (no corrections) at -2.822 eV per atom. The volume comes out at 278.2 Å³/cell.


(15)
Below is a relaxed structure of GdTh2Fe, with properties calculated at the PBE-GGA level.

It has space group P4/mmm (No. 123), with a = 3.4993 Å, b = 3.4993 Å, c = 8.7632 Å, α = 90.00°, β = 90.00° and γ = 90.00°. The distinct sites, in fractional coordinates, are Gd at (0.0000, 0.0000, 0.0000), Th at (0.5000, 0.5000, 0.3040) and Fe at (0.0000, 0.0000, 0.5000).

The calculation puts the total DFT energy (no corrections) at -9.264 eV per atom. The formation energy is 8 kJ/mol of atoms. The volume comes out at 107.3 Å³/cell.


(16)
Below is a relaxed structure of Sm2DyCd4, with properties calculated at the PBE-GGA level.

It has space group I4/mmm (No. 139), with a = 5.3440 Å, b = 5.3440 Å, c = 14.1329 Å, α = 90.00°, β = 90.00° and γ = 90.00°. The distinct sites, in fractional coordinates, are Sm at (0.0000, 0.0000, 0.2409), Dy at (0.0000, 0.0000, 0.5000) and Cd at (0.0000, 0.5000, 0.1118).

The calculation puts the total DFT energy (no corrections) at -2.694 eV per atom. The formation energy is -16 kJ/mol of atoms. The volume comes out at 403.6 Å³/cell.


(17)
Below is a relaxed structure of SbSeI2O, with properties calculated at the PBE-GGA level.

It has space group P4/mmm (No. 123), with a = 6.1484 Å, b = 6.1484 Å, c = 4.0745 Å, α = 90.00°, β = 90.00° and γ = 90.00°. The distinct sites, in fractional coordinates, are Sb at (0.0000, 0.0000, 0.0000), Se at (0.5000, 0.5000, 0.5000), I at (0.0000, 0.5000, 0.0000) and O at (0.0000, 0.0000, 0.5000).

The calculation puts the total DFT energy (no corrections) at -3.046 eV per atom. The volume comes out at 154.0 Å³/cell.


(18)
Below is a relaxed structure of Rb4TbPm3Se8, with properties calculated at the PBE-GGA level.

It has space group R-3m (No. 166, hexagonal axes), with a = 8.6540 Å, b = 8.6540 Å, c = 24.0456 Å, α = 90.00°, β = 90.00° and γ = 120.00°. The distinct sites, in fractional coordinates, are Rb at (0.0000, 0.0000, 0.0000), Rb at (0.0000, 0.5000, 0.0000), Tb at (0.0000, 0.0000, 0.5000), Pm at (0.0000, 0.5000, 0.5000), Se at (0.0000, 0.0000, 0.2335) and Se at (0.0047, 0.5024, 0.2328).

The calculation puts the total DFT energy (no corrections) at -4.903 eV per atom. The volume comes out at 1559.5 Å³/cell.


(19)
Below is a relaxed structure of Ca2OsPt, with properties calculated at the PBE-GGA level.

It has space group P2/m (No. 10), with a = 2.9684 Å, b = 4.0755 Å, c = 6.6505 Å, α = 90.00°, β = 90.18° and γ = 90.00°. The distinct sites, in fractional coordinates, are Ca at (0.0004, 0.0000, 0.2491), Os at (0.5000, 0.5000, 0.0000) and Pt at (0.5000, 0.5000, 0.5000).

The calculation puts the total DFT energy (no corrections) at -5.276 eV per atom. The formation energy is 4 kJ/mol of atoms. The volume comes out at 80.5 Å³/cell.


(20)
Below is a relaxed structure of HoInGa, with properties calculated at the PBE-GGA level.

It has space group P6_3/mmc (No. 194), with a = 4.7276 Å, b = 4.7276 Å, c = 6.9999 Å, α = 90.00°, β = 90.00° and γ = 120.00°. The distinct sites, in fractional coordinates, are Ho at (0.0000, 0.0000, 0.0000), In at (0.3333, 0.6667, 0.2500) and Ga at (0.3333, 0.6667, 0.7500).

The calculation puts the total DFT energy (no corrections) at -3.907 eV per atom. The formation energy is -44 kJ/mol of atoms. The volume comes out at 135.5 Å³/cell.


(21)
Below is a relaxed structure of YSiRu, with properties calculated at the PBE-GGA level.

It has space group F-43m (No. 216), with a = 6.2499 Å, b = 6.2499 Å, c = 6.2499 Å, α = 90.00°, β = 90.00° and γ = 90.00°. The distinct sites, in fractional coordinates, are Y at (0.0000, 0.0000, 0.0000), Si at (0.0000, 0.0000, 0.5000) and Ru at (0.2500, 0.2500, 0.7500).

The calculation puts the total DFT energy (no corrections) at -7.321 eV per atom. The volume comes out at 244.1 Å³/cell.


(22)
Below is a relaxed structure of U3Se5, with properties calculated at the PBE-GGA level.

It has space group P6_3/mcm (No. 193), with a = 8.2831 Å, b = 8.2831 Å, c = 6.3237 Å, α = 90.00°, β = 90.00° and γ = 120.00°. The distinct sites, in fractional coordinates, are U at (0.0000, 0.3933, 0.2500), Se at (0.0000, 0.2518, 0.7500) and Se at (0.3333, 0.6667, 0.0000).

The calculation puts the total DFT energy (no corrections) at -7.526 eV per atom. The volume comes out at 375.7 Å³/cell.


(23)
Below is a relaxed structure of Ce3RuPb, with properties calculated at the PBE-GGA level.

It has space group P2_1/m (No. 11), with a = 6.7802 Å, b = 5.4057 Å, c = 7.0155 Å, α = 90.00°, β = 94.22° and γ = 90.00°. The distinct sites, in fractional coordinates, are Ce at (0.0218, 0.2500, 0.1398), Ce at (0.1330, 0.2500, 0.5433), Ce at (0.4032, 0.7500, 0.8106), Ru at (0.3070, 0.2500, 0.8657) and Pb at (0.3103, 0.7500, 0.2951).

The calculation puts the total DFT energy (no corrections) at -6.455 eV per atom. The formation energy is -29 kJ/mol of atoms. The volume comes out at 256.4 Å³/cell.


(24)
Below is a relaxed structure of LiCaAsAu, with properties calculated at the PBE-GGA level.

It has space group F-43m (No. 216), with a = 6.8929 Å, b = 6.8929 Å, c = 6.8929 Å, α = 90.00°, β = 90.00° and γ = 90.00°. The distinct sites, in fractional coordinates, are Li at (0.0000, 0.0000, 0.0000), Ca at (0.0000, 0.0000, 0.5000), As at (0.2500, 0.2500, 0.7500) and Au at (0.2500, 0.2500, 0.2500).

The calculation puts the total DFT energy (no corrections) at -3.633 eV per atom. The formation energy is -65 kJ/mol of atoms. The volume comes out at 327.5 Å³/cell.